## RbAcV2O6 (PBE+U)

Data for a relaxed structure of RbAcV2O6.

Results
calculated total energy = -146.179 eV for the cell shown
density = 4628 kg/m3

Cell and atoms, written as POSCAR:
```
RbAcV2O6
1.0
7.738 0.548 0.608
-0.403 7.747 0.608
-1.398 -1.581 5.855
Rb Ac V O
2 2 4 12
direct
0.168 0.832 0.250 Rb
0.832 0.168 0.750 Rb
0.613 0.387 0.250 Ac
0.387 0.613 0.750 Ac
0.297 0.135 0.783 V
0.865 0.703 0.717 V
0.703 0.865 0.217 V
0.135 0.297 0.283 V
0.921 0.367 0.204 O
0.633 0.079 0.296 O
0.079 0.633 0.796 O
0.367 0.921 0.704 O
0.188 0.149 0.031 O
0.851 0.812 0.469 O
0.812 0.851 0.969 O
0.149 0.188 0.531 O
0.312 0.457 0.363 O
0.543 0.688 0.137 O
0.688 0.543 0.637 O
0.457 0.312 0.863 O
```